# 1
Material: Rb4AgSn3Br12
Method: DFT, GGA-PBE
State: relaxed

## Properties
spin magnetization	0.00	μB/atom

a = 9.9286 Å, b = 9.9286 Å, c = 9.9286 Å
α = 109.47°, β = 109.47°, γ = 109.47°
Fractional positions:
Rb1 0.0000 0.0000 0.5000
Rb2 0.0000 0.5000 0.0000
Rb3 0.5000 0.0000 0.0000
Rb4 0.5000 0.5000 0.5000
Ag1 0.0000 0.0000 0.0000
Sn1 0.0000 0.5000 0.5000
Sn2 0.5000 0.0000 0.5000
Sn3 0.5000 0.5000 0.0000
Br1 0.0000 0.2492 0.2492
Br2 0.0000 0.7508 0.7508
Br3 0.2492 0.0000 0.2492
Br4 0.2492 0.2492 0.0000
Br5 0.2500 0.5000 0.7500
Br6 0.2500 0.7500 0.5000
Br7 0.5000 0.2500 0.7500
Br8 0.5000 0.7500 0.2500
Br9 0.7500 0.2500 0.5000
Br10 0.7500 0.5000 0.2500
Br11 0.7508 0.0000 0.7508
Br12 0.7508 0.7508 0.0000

# 2
Material: Rb3Ag2SnBr9
Method: DFT, GGA-PBE
State: relaxed

## Properties
spin magnetization	0.00	μB/atom

a = 7.8525 Å, b = 7.8525 Å, c = 9.6633 Å
α = 90.00°, β = 90.00°, γ = 120.00°
Fractional positions:
Rb1 0.0000 0.0000 0.0000
Rb2 0.3333 0.6667 0.7058
Rb3 0.6667 0.3333 0.2942
Ag1 0.3333 0.6667 0.1587
Ag2 0.6667 0.3333 0.8413
Sn1 0.0000 0.0000 0.5000
Br1 0.0000 0.5000 0.0000
Br2 0.1635 0.3269 0.3371
Br3 0.1635 0.8365 0.3371
Br4 0.3269 0.1635 0.6629
Br5 0.5000 0.0000 0.0000
Br6 0.5000 0.5000 0.0000
Br7 0.6731 0.8365 0.3371
Br8 0.8365 0.1635 0.6629
Br9 0.8365 0.6731 0.6629

# 3
Material: RbAgSnBr4
Method: DFT, GGA-PBE
State: relaxed

## Properties
spin magnetization	0.00	μB/atom

a = 7.3293 Å, b = 8.0722 Å, c = 9.2805 Å
α = 90.00°, β = 107.30°, γ = 90.00°
Fractional positions:
Rb1 0.2179 0.2500 0.0476
Rb2 0.7821 0.7500 0.9524
Ag1 0.2218 0.7500 0.3270
Ag2 0.7782 0.2500 0.6730
Sn1 0.2018 0.2500 0.5432
Sn2 0.7982 0.7500 0.4568
Br1 0.0152 0.5131 0.7214
Br2 0.0152 0.9869 0.7214
Br3 0.4858 0.7500 0.1728
Br4 0.4960 0.2500 0.4049
Br5 0.5040 0.7500 0.5951
Br6 0.5142 0.2500 0.8272
Br7 0.9848 0.0131 0.2786
Br8 0.9848 0.4869 0.2786

# 4
Material: Rb2Ag2SnBr7
Method: DFT, GGA-PBE
State: relaxed

## Properties
spin magnetization	0.00	μB/atom

a = 14.2044 Å, b = 14.2044 Å, c = 14.2044 Å
α = 157.99°, β = 157.99°, γ = 31.33°
Fractional positions:
Rb1 0.1770 0.1770 0.0000
Rb2 0.8230 0.8230 0.0000
Ag1 0.4008 0.4008 0.0000
Ag2 0.5992 0.5992 0.0000
Sn1 0.0000 0.0000 0.0000
Br1 0.0787 0.5787 0.5000
Br2 0.3027 0.3027 0.0000
Br3 0.4213 0.9213 0.5000
Br4 0.5000 0.5000 0.0000
Br5 0.5787 0.0787 0.5000
Br6 0.6973 0.6973 0.0000
Br7 0.9213 0.4213 0.5000

# 5
Material: Rb2AgSnBr6
Method: DFT, GGA-PBE
State: relaxed

## Properties
spin magnetization	0.00	μB/atom

a = 7.9273 Å, b = 7.9273 Å, c = 7.9273 Å
α = 120.17°, β = 120.17°, γ = 89.70°
Fractional positions:
Rb1 0.2500 0.7500 0.5000
Rb2 0.7500 0.2500 0.5000
Ag1 0.0000 0.0000 0.0000
Sn1 0.5000 0.5000 0.0000
Br1 0.2495 0.2495 0.4991
Br2 0.2495 0.7505 0.0000
Br3 0.2505 0.2505 0.0000
Br4 0.7495 0.7495 0.0000
Br5 0.7505 0.2495 0.0000
Br6 0.7505 0.7505 0.5009

# 6
Material: Rb2SrAgBr6
Method: DFT, GGA-PBE
State: relaxed

## Properties
energy relative to the lowest polymorph listed for this composition	0.000	eV/atom
spin magnetization	0.00	μB/atom

a = 5.8243 Å, b = 5.8243 Å, c = 11.2889 Å
α = 90.00°, β = 90.00°, γ = 90.00°
Fractional positions:
Rb1 0.0000 0.0000 0.2180
Rb2 0.0000 0.0000 0.7820
Sr1 0.5000 0.5000 0.5000
Ag1 0.5000 0.5000 0.0000
Br1 0.0000 0.5000 0.0000
Br2 0.0000 0.5000 0.5000
Br3 0.5000 0.0000 0.0000
Br4 0.5000 0.0000 0.5000
Br5 0.5000 0.5000 0.2303
Br6 0.5000 0.5000 0.7697

# 7
Material: Rb2SrAgBr5
Method: DFT, GGA-PBE
State: relaxed

## Properties
spin magnetization	0.00	μB/atom

a = 10.3517 Å, b = 10.3517 Å, c = 14.4646 Å
α = 90.00°, β = 90.00°, γ = 154.31°
Fractional positions:
Rb1 0.1073 0.8927 0.5000
Rb2 0.1243 0.8757 0.1419
Rb3 0.8757 0.1243 0.6419
Rb4 0.8927 0.1073 0.0000
Sr1 0.2041 0.7959 0.8396
Sr2 0.7959 0.2041 0.3396
Ag1 0.4488 0.5512 0.2595
Ag2 0.5512 0.4488 0.7595
Br1 0.0518 0.9482 0.8593
Br2 0.2890 0.7110 0.4824
Br3 0.3074 0.6926 0.1962
Br4 0.3530 0.6470 0.8246
Br5 0.4981 0.5019 0.5931
Br6 0.5019 0.4981 0.0931
Br7 0.6470 0.3530 0.3246
Br8 0.6926 0.3074 0.6962
Br9 0.7110 0.2890 0.9824
Br10 0.9482 0.0518 0.3593

# 8
Material: RbSrAg2Br8
Method: DFT, GGA-PBE
State: relaxed

## Properties
spin magnetization	0.03	μB/atom

a = 8.7174 Å, b = 8.7174 Å, c = 8.7174 Å
α = 127.20°, β = 127.20°, γ = 77.92°
Fractional positions:
Rb1 0.0000 0.0000 0.0000
Sr1 0.2500 0.7500 0.5000
Ag1 0.5000 0.5000 0.0000
Ag2 0.7500 0.2500 0.5000
Br1 0.0399 0.3656 0.9462
Br2 0.1999 0.4670 0.6276
Br3 0.4194 0.0937 0.0538
Br4 0.4277 0.8001 0.2671
Br5 0.5330 0.1606 0.7329
Br6 0.6344 0.5806 0.6743
Br7 0.8394 0.5723 0.3724
Br8 0.9063 0.9601 0.3257

One value per record, in order, for energy relative to the elements, uncorrected: -1100, -1002, -900, -789, -1064, -1360, -1575, -838 meV/atom.
One value per record, in order, for electronic total energy: -3.040, -2.846, -2.973, -2.734, -2.947, -3.011, -3.224, -2.649 eV per atom.
One value per record, in order, for mass density: 3.9, 4.2, 4.0, 4.4, 4.1, 3.7, 3.8, 4.2 g/cm3.